Entry 1:
First-principles (PBE-GGA) data for BaZr2Ag after structural relaxation, as listed in Alexandria.

Computed properties:
theoretical density: 6561 kg/m³
E: -20.7 eV for the cell shown
space group: No. 71
excess energy over the best structure of this formula in the dataset: 0.189 eV/atom
formation enthalpy at 0 K: 0.304 eV per atom

Cell lengths 6.7275, 6.7275, 6.7275 Å; angles 151.29, 131.86, 57.02 degrees
Closest atoms and distances in Å follow each position.
Positions (direct):
Ba (0.2500, 0.7500, 0.5000)  4 Ag 3.21, 2 Ba 3.34
Zr (0.5319, 0.5319, 0.0000)  2 Ag 3.07, 6 Zr 3.30-3.34
Zr (0.9681, 0.9681, 0.0000)  2 Ag 3.07, 6 Zr 3.30-3.34
Ag (0.7500, 0.2500, 0.5000)  4 Zr 3.07, 4 Ba 3.21, 2 Ag 3.34

---

Entry 2:
First-principles (PBE-GGA) data for BaZrAg3 after structural relaxation, as listed in Alexandria.

Computed properties:
theoretical density: 5790 kg/m³
E: -17.1 eV for the cell shown
space group: No. 221
excess energy over the best structure of this formula in the dataset: 0.000 eV/atom
formation enthalpy at 0 K: 0.381 eV per atom

Cell lengths 5.4103, 5.4103, 5.4103 Å; angles 90.00, 90.00, 90.00 degrees
Closest atoms and distances in Å follow each position.
Positions (direct):
Ag (0.5000, 0.0000, 0.0000)  2 Zr 2.71
Ag (0.0000, 0.5000, 0.0000)  2 Zr 2.71
Ag (0.0000, 0.0000, 0.5000)  2 Zr 2.71
Zr (0.0000, 0.0000, 0.0000)  6 Ag 2.71
Ba (0.5000, 0.5000, 0.5000)  12 Ag 3.83

---

Which value of theoretical density does entry 1 give?
6561 kg/m³

---

Which of these has the highest excess energy over the best structure of this formula in the dataset?
BaZr2Ag

---

What is the E in the first record?
-20.7 eV for the cell shown